KAuBr2 | PBE-GGA | optimized geometry

- raw formation energy (eV per atom) = -0.56
- offset from the most stable computed form (meV per atom) = 371.4

The structure in CIF format:
```
data_KAuBr2
_chemical_formula_sum 'K1 Au1 Br2'
_cell_length_a 5.3334
_cell_length_b 5.3334
_cell_length_c 5.3334
_cell_angle_alpha 60.00
_cell_angle_beta 60.00
_cell_angle_gamma 60.00
_symmetry_space_group_name_H-M 'P 1'
_symmetry_Int_Tables_number 1
loop_
_symmetry_equiv_pos_as_xyz
'x,y,z'
loop_
_atom_site_label
_atom_site_fract_x
_atom_site_fract_y
_atom_site_fract_z
K1 0.0000 0.0000 0.0000
Au1 0.5000 0.5000 0.5000
Br1 0.2500 0.2500 0.2500
Br2 0.7500 0.7500 0.7500
```

---

V2Cu2Pt | PBE-GGA | optimized geometry

- formation enthalpy at 0 K (eV/atom) = 0.056
- offset from the most stable computed form (meV per atom) = 0.0

The structure in CIF format:
```
data_V2Cu2Pt
_chemical_formula_sum 'V4 Cu4 Pt2'
_cell_length_a 6.8905
_cell_length_b 6.8905
_cell_length_c 2.8072
_cell_angle_alpha 90.00
_cell_angle_beta 90.00
_cell_angle_gamma 90.00
_symmetry_space_group_name_H-M 'P 1'
_symmetry_Int_Tables_number 1
loop_
_symmetry_equiv_pos_as_xyz
'x,y,z'
loop_
_atom_site_label
_atom_site_fract_x
_atom_site_fract_y
_atom_site_fract_z
V1 0.1720 0.3280 0.0000
V2 0.3280 0.8280 0.0000
V3 0.6720 0.1720 0.0000
V4 0.8280 0.6720 0.0000
Cu1 0.1251 0.6251 0.5000
Cu2 0.3749 0.1251 0.5000
Cu3 0.6251 0.8749 0.5000
Cu4 0.8749 0.3749 0.5000
Pt1 0.0000 0.0000 0.5000
Pt2 0.5000 0.5000 0.5000
```